Record 1
Density functional theory data (PBE) for Sc2Ge2S after structural relaxation.

Values from the calculation:
total energy = -6.1421 eV per atom
total moment = 0.000 μB/cell
E_form (uncorrected) = -90.4 kJ/mol of atoms
distance to the lowest polymorph of the same formula = 0.000 eV/atom

a b c (Å): 6.9743 6.9743 4.0751
angles (deg): 90.00 90.00 90.00
With the nearest neighbours (Å) after each atom.
Element x y z (fractional)
Sc 0.3189 0.8189 0.0000  2 S 2.56, 2 Ge 2.82
Sc 0.8189 0.6811 0.0000  2 S 2.56, 2 Ge 2.82
Sc 0.6811 0.1811 0.0000  2 S 2.56, 2 Ge 2.82
Sc 0.1811 0.3189 0.0000  2 S 2.56, 2 Ge 2.82
Ge 0.1219 0.6219 0.5000  1 Ge 2.40
Ge 0.6219 0.8781 0.5000  1 Ge 2.40
Ge 0.8781 0.3781 0.5000  1 Ge 2.40
Ge 0.3781 0.1219 0.5000  1 Ge 2.40
S 0.0000 0.0000 0.0000  4 Sc 2.56
S 0.5000 0.5000 0.0000  4 Sc 2.56


Record 2
Density functional theory data (PBE) for TiAlOsAu after structural relaxation.

Values from the calculation:
energy relative to the elements = -365 meV per atom
total energy = -6.9008 eV per atom
total moment = 0.000 μB/cell

a b c (Å): 4.4379 4.4379 4.4379
angles (deg): 60.00 60.00 60.00
With the nearest neighbours (Å) after each atom.
Element x y z (fractional)
Os 0.5000 0.5000 0.5000  4 Ti 2.72, 4 Al 2.72
Au 0.0000 0.0000 0.0000  4 Al 2.72, 4 Ti 2.72
Al 0.2500 0.2500 0.2500  4 Os 2.72, 4 Au 2.72
Ti 0.7500 0.7500 0.7500  4 Au 2.72, 4 Os 2.72


Record 3
Density functional theory data (PBE) for GaGe2PO after structural relaxation.

Values from the calculation:
total energy = -3.4828 eV per atom
total moment = 0.000 μB/cell
E_form (uncorrected) = 100.6 kJ/mol of atoms

a b c (Å): 5.0090 4.4430 5.0090
angles (deg): 90.00 90.00 90.00
With the nearest neighbours (Å) after each atom.
Element x y z (fractional)
P 0.0000 0.5000 0.0000  2 Ga 2.22
Ge 0.0000 0.0000 0.5000  2 Ga 2.50
Ge 0.5000 0.0000 0.0000  2 Ga 2.50
O 0.5000 0.5000 0.5000  8 Ge 3.35, 4 P 3.54
Ga 0.0000 0.0000 0.0000  2 P 2.22


Record 4
Density functional theory data (PBE) for Tb4SmPd4 after structural relaxation.

Values from the calculation:
energy relative to the elements = -655 meV per atom
total energy = -5.5447 eV per atom
total moment = 0.000 μB/cell

a b c (Å): 5.8203 9.0400 9.0400
angles (deg): 90.00 90.00 90.00
With the nearest neighbours (Å) after each atom.
Element x y z (fractional)
Tb 0.4130 0.3219 0.9064  5 Pd 2.83-2.97
Tb 0.9130 0.5936 0.8219  5 Pd 2.83-2.97
Tb 0.4130 0.6781 0.0936  5 Pd 2.83-2.97
Tb 0.0870 0.1781 0.5936  5 Pd 2.83-2.97
Tb 0.5870 0.9064 0.6781  5 Pd 2.83-2.97
Tb 0.0870 0.8219 0.4064  5 Pd 2.83-2.97
Tb 0.9130 0.4064 0.1781  5 Pd 2.83-2.97
Tb 0.5870 0.0936 0.3219  5 Pd 2.83-2.97
Sm 0.0000 0.0000 0.0000  4 Pd 2.87
Sm 0.5000 0.5000 0.5000  4 Pd 2.87
Pd 0.5913 0.7856 0.3751  5 Tb 2.83-2.97, 1 Sm 2.87, 1 Pd 2.99
Pd 0.5913 0.2144 0.6249  5 Tb 2.83-2.97, 1 Sm 2.87, 1 Pd 2.99
Pd 0.0913 0.8751 0.7144  5 Tb 2.83-2.97, 1 Sm 2.87, 1 Pd 2.99
Pd 0.9087 0.2856 0.8751  5 Tb 2.83-2.97, 1 Sm 2.87, 1 Pd 2.99
Pd 0.9087 0.7144 0.1249  5 Tb 2.83-2.97, 1 Sm 2.87, 1 Pd 2.99
Pd 0.4087 0.3751 0.2144  5 Tb 2.83-2.97, 1 Sm 2.87, 1 Pd 2.99
Pd 0.4087 0.6249 0.7856  5 Tb 2.83-2.97, 1 Sm 2.87, 1 Pd 2.99
Pd 0.0913 0.1249 0.2856  5 Tb 2.83-2.97, 1 Sm 2.87, 1 Pd 2.99